First-principles (GGA-PBE) data for a geometry-optimized KGa2NiPb structure, as listed in Alexandria via LeMat-Bulk.

Calculated values
The formation energy comes out at -0.009 eV/atom.

Cell and atoms, written as CIF:
```
data_KGa2NiPb
_chemical_formula_sum 'K1 Ga2 Ni1 Pb1'
_symmetry_space_group_name_H-M 'P 1'
_symmetry_Int_Tables_number 1
_symmetry_space_group_name_Hall 'P 1'
_cell_length_a 4.790
_cell_length_b 4.790
_cell_length_c 5.307
_cell_angle_alpha 90.00
_cell_angle_beta 90.00
_cell_angle_gamma 90.00
loop_
_atom_site_label
_atom_site_type_symbol
_atom_site_fract_x
_atom_site_fract_y
_atom_site_fract_z
_atom_site_occupancy
K1 K 0.000 0.000 0.000 1
Ga1 Ga 0.000 0.500 0.500 1
Ga2 Ga 0.500 0.000 0.500 1
Ni1 Ni 0.500 0.500 0.500 1
Pb1 Pb 0.500 0.500 0.000 1
```

First-principles (GGA-PBE) data for a geometry-optimized KGaSi2Ni structure, as listed in Alexandria via LeMat-Bulk.

Calculated values
Its uncorrected formation energy is 1.80 eV per formula unit. The offset from the most stable computed form comes out at 0.000 eV per atom.

Cell and atoms, written as CIF:
```
data_KGaSi2Ni
_chemical_formula_sum 'K1 Ga1 Si2 Ni1'
_symmetry_space_group_name_H-M 'P 1'
_symmetry_Int_Tables_number 1
_symmetry_space_group_name_Hall 'P 1'
_cell_length_a 4.450
_cell_length_b 4.450
_cell_length_c 5.631
_cell_angle_alpha 90.00
_cell_angle_beta 90.00
_cell_angle_gamma 90.00
loop_
_atom_site_label
_atom_site_type_symbol
_atom_site_fract_x
_atom_site_fract_y
_atom_site_fract_z
_atom_site_occupancy
K1 K 0.000 0.000 0.000 1
Ga1 Ga 0.500 0.500 0.000 1
Si1 Si 0.000 0.500 0.500 1
Si2 Si 0.500 0.000 0.500 1
Ni1 Ni 0.000 0.000 0.500 1
```

First-principles (GGA-PBE) data for a geometry-optimized KGaSi2Ni structure, as listed in Alexandria via LeMat-Bulk.

Calculated values
Its uncorrected formation energy is 3.39 eV per formula unit. The offset from the most stable computed form comes out at 0.318 eV per atom.

Cell and atoms, written as CIF:
```
data_KGaSi2Ni
_chemical_formula_sum 'K1 Ga1 Si2 Ni1'
_symmetry_space_group_name_H-M 'P 1'
_symmetry_Int_Tables_number 1
_symmetry_space_group_name_Hall 'P 1'
_cell_length_a 4.939
_cell_length_b 4.939
_cell_length_c 4.644
_cell_angle_alpha 90.00
_cell_angle_beta 90.00
_cell_angle_gamma 90.00
loop_
_atom_site_label
_atom_site_type_symbol
_atom_site_fract_x
_atom_site_fract_y
_atom_site_fract_z
_atom_site_occupancy
K1 K 0.000 0.000 0.000 1
Ga1 Ga 0.500 0.500 0.500 1
Si1 Si 0.000 0.500 0.500 1
Si2 Si 0.500 0.000 0.500 1
Ni1 Ni 0.500 0.500 0.000 1
```

First-principles (GGA-PBE) data for a geometry-optimized KGa2NiSn structure, as listed in Alexandria via LeMat-Bulk.

Calculated values
The formation energy comes out at -0.052 eV/atom.

Cell and atoms, written as CIF:
```
data_KGa2NiSn
_chemical_formula_sum 'K1 Ga2 Ni1 Sn1'
_symmetry_space_group_name_H-M 'P 1'
_symmetry_Int_Tables_number 1
_symmetry_space_group_name_Hall 'P 1'
_cell_length_a 4.785
_cell_length_b 4.785
_cell_length_c 5.108
_cell_angle_alpha 90.00
_cell_angle_beta 90.00
_cell_angle_gamma 90.00
loop_
_atom_site_label
_atom_site_type_symbol
_atom_site_fract_x
_atom_site_fract_y
_atom_site_fract_z
_atom_site_occupancy
K1 K 0.000 0.000 0.000 1
Ga1 Ga 0.000 0.500 0.500 1
Ga2 Ga 0.500 0.000 0.500 1
Ni1 Ni 0.500 0.500 0.500 1
Sn1 Sn 0.500 0.500 0.000 1
```

First-principles (GGA-PBE) data for a geometry-optimized KSr2GaNi structure, as listed in Alexandria via LeMat-Bulk.

Calculated values
The formation energy comes out at -0.036 eV/atom.

Cell and atoms, written as CIF:
```
data_KSr2GaNi
_chemical_formula_sum 'K1 Sr2 Ga1 Ni1'
_symmetry_space_group_name_H-M 'P 1'
_symmetry_Int_Tables_number 1
_symmetry_space_group_name_Hall 'P 1'
_cell_length_a 5.939
_cell_length_b 5.939
_cell_length_c 4.800
_cell_angle_alpha 90.00
_cell_angle_beta 90.00
_cell_angle_gamma 90.00
loop_
_atom_site_label
_atom_site_type_symbol
_atom_site_fract_x
_atom_site_fract_y
_atom_site_fract_z
_atom_site_occupancy
K1 K 0.000 0.000 0.000 1
Sr1 Sr 0.000 0.500 0.500 1
Sr2 Sr 0.500 0.000 0.500 1
Ga1 Ga 0.500 0.500 0.000 1
Ni1 Ni 0.500 0.500 0.500 1
```

First-principles (GGA-PBE) data for a geometry-optimized KTlGa2Ni structure, as listed in Alexandria via LeMat-Bulk.

Calculated values
The formation energy comes out at -0.043 eV/atom.

Cell and atoms, written as CIF:
```
data_KTlGa2Ni
_chemical_formula_sum 'K1 Tl1 Ga2 Ni1'
_symmetry_space_group_name_H-M 'P 1'
_symmetry_Int_Tables_number 1
_symmetry_space_group_name_Hall 'P 1'
_cell_length_a 4.773
_cell_length_b 4.773
_cell_length_c 5.265
_cell_angle_alpha 90.00
_cell_angle_beta 90.00
_cell_angle_gamma 90.00
loop_
_atom_site_label
_atom_site_type_symbol
_atom_site_fract_x
_atom_site_fract_y
_atom_site_fract_z
_atom_site_occupancy
K1 K 0.000 0.000 0.000 1
Tl1 Tl 0.500 0.500 0.000 1
Ga1 Ga 0.000 0.500 0.500 1
Ga2 Ga 0.500 0.000 0.500 1
Ni1 Ni 0.500 0.500 0.500 1
```

First-principles (GGA-PBE) data for a geometry-optimized KV2GaNi structure, as listed in Alexandria via LeMat-Bulk.

Calculated values
The formation energy comes out at 1.514 eV/atom.

Cell and atoms, written as CIF:
```
data_KV2GaNi
_chemical_formula_sum 'K1 V2 Ga1 Ni1'
_symmetry_space_group_name_H-M 'P 1'
_symmetry_Int_Tables_number 1
_symmetry_space_group_name_Hall 'P 1'
_cell_length_a 4.846
_cell_length_b 4.846
_cell_length_c 5.639
_cell_angle_alpha 90.00
_cell_angle_beta 90.00
_cell_angle_gamma 90.00
loop_
_atom_site_label
_atom_site_type_symbol
_atom_site_fract_x
_atom_site_fract_y
_atom_site_fract_z
_atom_site_occupancy
K1 K 0.000 0.000 0.000 1
V1 V 0.000 0.500 0.500 1
V2 V 0.500 0.000 0.500 1
Ga1 Ga 0.000 0.000 0.500 1
Ni1 Ni 0.500 0.500 0.000 1
```

First-principles (GGA-PBE) data for a geometry-optimized KZnGa2Ni structure, as listed in Alexandria via LeMat-Bulk.

Calculated values
The formation energy comes out at -0.104 eV/atom.

Cell and atoms, written as CIF:
```
data_KZnGa2Ni
_chemical_formula_sum 'K1 Zn1 Ga2 Ni1'
_symmetry_space_group_name_H-M 'P 1'
_symmetry_Int_Tables_number 1
_symmetry_space_group_name_Hall 'P 1'
_cell_length_a 4.680
_cell_length_b 4.680
_cell_length_c 4.843
_cell_angle_alpha 90.00
_cell_angle_beta 90.00
_cell_angle_gamma 90.00
loop_
_atom_site_label
_atom_site_type_symbol
_atom_site_fract_x
_atom_site_fract_y
_atom_site_fract_z
_atom_site_occupancy
K1 K 0.000 0.000 0.000 1
Zn1 Zn 0.500 0.500 0.000 1
Ga1 Ga 0.000 0.500 0.500 1
Ga2 Ga 0.500 0.000 0.500 1
Ni1 Ni 0.500 0.500 0.500 1
```

First-principles (GGA-PBE) data for a geometry-optimized KZn2GaNi structure, as listed in Alexandria via LeMat-Bulk.

Calculated values
The formation energy comes out at -0.079 eV/atom.

Cell and atoms, written as CIF:
```
data_KZn2GaNi
_chemical_formula_sum 'K1 Zn2 Ga1 Ni1'
_symmetry_space_group_name_H-M 'P 1'
_symmetry_Int_Tables_number 1
_symmetry_space_group_name_Hall 'P 1'
_cell_length_a 4.796
_cell_length_b 4.796
_cell_length_c 4.610
_cell_angle_alpha 90.00
_cell_angle_beta 90.00
_cell_angle_gamma 90.00
loop_
_atom_site_label
_atom_site_type_symbol
_atom_site_fract_x
_atom_site_fract_y
_atom_site_fract_z
_atom_site_occupancy
K1 K 0.000 0.000 0.000 1
Zn1 Zn 0.000 0.500 0.500 1
Zn2 Zn 0.500 0.000 0.500 1
Ga1 Ga 0.500 0.500 0.000 1
Ni1 Ni 0.500 0.500 0.500 1
```

First-principles (GGA-PBE) data for a geometry-optimized K2ZnGaNi structure, as listed in Alexandria via LeMat-Bulk.

Calculated values
The formation energy comes out at 0.304 eV/atom.

Cell and atoms, written as CIF:
```
data_K2ZnGaNi
_chemical_formula_sum 'K2 Zn1 Ga1 Ni1'
_symmetry_space_group_name_H-M 'P 1'
_symmetry_Int_Tables_number 1
_symmetry_space_group_name_Hall 'P 1'
_cell_length_a 6.141
_cell_length_b 6.141
_cell_length_c 4.585
_cell_angle_alpha 90.00
_cell_angle_beta 90.00
_cell_angle_gamma 90.00
loop_
_atom_site_label
_atom_site_type_symbol
_atom_site_fract_x
_atom_site_fract_y
_atom_site_fract_z
_atom_site_occupancy
K1 K 0.000 0.500 0.000 1
K2 K 0.500 0.000 0.000 1
Zn1 Zn 0.000 0.000 0.500 1
Ga1 Ga 0.500 0.500 0.500 1
Ni1 Ni 0.500 0.500 0.000 1
```

First-principles (GGA-PBE) data for a geometry-optimized KZrGa2Ni structure, as listed in Alexandria via LeMat-Bulk.

Calculated values
The formation energy comes out at 1.308 eV/atom.

Cell and atoms, written as CIF:
```
data_KZrGa2Ni
_chemical_formula_sum 'K1 Zr1 Ga2 Ni1'
_symmetry_space_group_name_H-M 'P 1'
_symmetry_Int_Tables_number 1
_symmetry_space_group_name_Hall 'P 1'
_cell_length_a 5.200
_cell_length_b 5.200
_cell_length_c 5.995
_cell_angle_alpha 90.00
_cell_angle_beta 90.00
_cell_angle_gamma 90.00
loop_
_atom_site_label
_atom_site_type_symbol
_atom_site_fract_x
_atom_site_fract_y
_atom_site_fract_z
_atom_site_occupancy
K1 K 0.000 0.000 0.000 1
Zr1 Zr 0.000 0.000 0.500 1
Ga1 Ga 0.000 0.500 0.500 1
Ga2 Ga 0.500 0.000 0.500 1
Ni1 Ni 0.500 0.500 0.000 1
```

First-principles (GGA-PBE) data for a geometry-optimized KNpGa2O8 structure, as listed in Alexandria via LeMat-Bulk.

Calculated values
Its uncorrected formation energy is -18.10 eV per formula unit.

Cell and atoms, written as CIF:
```
data_KNpGa2O8
_chemical_formula_sum 'K1 Np1 Ga2 O8'
_symmetry_space_group_name_H-M 'P 1'
_symmetry_Int_Tables_number 1
_symmetry_space_group_name_Hall 'P 1'
_cell_length_a 6.067
_cell_length_b 6.067
_cell_length_c 6.067
_cell_angle_alpha 109.30
_cell_angle_beta 109.30
_cell_angle_gamma 109.82
loop_
_atom_site_label
_atom_site_type_symbol
_atom_site_fract_x
_atom_site_fract_y
_atom_site_fract_z
_atom_site_occupancy
K1 K 0.000 0.000 0.000 1
Np1 Np 0.250 0.750 0.500 1
Ga1 Ga 0.500 0.500 0.000 1
Ga2 Ga 0.750 0.250 0.500 1
O1 O 0.327 0.115 0.788 1
O2 O 0.327 0.539 0.212 1
O3 O 0.385 0.039 0.346 1
O4 O 0.461 0.673 0.788 1
O5 O 0.693 0.039 0.654 1
O6 O 0.885 0.673 0.212 1
O7 O 0.961 0.307 0.346 1
O8 O 0.961 0.615 0.654 1
```